A relaxed structure of CsBAsBr2, computed with PBEsol.

Summary:
The calculation puts the density of states at the Fermi level at 0.777 states/eV/atom. The final energy is -3.348 eV/atom. The raw formation energy comes out at 1 kJ/mol of atoms.

a = 4.0538 Å, b = 5.6165 Å, c = 5.6165 Å
α = 90.00°, β = 90.00°, γ = 90.00°
Last column: nearest neighbours and their distance in Å.
Positions (direct):
Cs 0.5000 0.5000 0.5000  8 Br 3.46
As 0.5000 0.0000 0.0000  2 B 2.03
B 0.0000 0.0000 0.0000  2 As 2.03
Br 0.0000 0.0000 0.5000  2 B 2.81
Br 0.0000 0.5000 0.0000  2 B 2.81

***

A relaxed structure of FeBAsBr2, computed with PBEsol.

Summary:
The calculation puts the density of states at the Fermi level at 1.113 states/eV/atom. The final energy is -3.843 eV/atom. The energy above the most stable polymorph in this dataset comes out at 66 meV/atom. The raw formation energy comes out at 108 kJ/mol of atoms.

a = 4.4010 Å, b = 4.9386 Å, c = 4.9386 Å
α = 90.00°, β = 90.00°, γ = 90.00°
Last column: nearest neighbours and their distance in Å.
Positions (direct):
As 0.5000 0.0000 0.0000  2 Fe 2.20
B 0.5000 0.5000 0.5000  8 Br 3.31, 4 As 3.49
Fe 0.0000 0.0000 0.0000  2 As 2.20
Br 0.0000 0.0000 0.5000  2 Fe 2.47
Br 0.0000 0.5000 0.0000  2 Fe 2.47